A | First-principles (PBE-GGA) data for PIrRhS2 after structural relaxation, as listed in Alexandria.

Cell and atoms, written as CIF:
```
data_PIrRhS2
_space_group_name_H-M_alt 'P 1'
_space_group_IT_number 1
_space_group_name_Hall 'P 1'
_cell_length_a 4.606
_cell_length_b 4.606
_cell_length_c 4.371
_cell_angle_alpha 90.00
_cell_angle_beta 90.00
_cell_angle_gamma 90.00
loop_
_atom_site_label
_atom_site_type_symbol
_atom_site_fract_x
_atom_site_fract_y
_atom_site_fract_z
_atom_site_occupancy
P1 P 0.000 0.000 0.000 1
Ir1 Ir 0.500 0.500 0.000 1
Rh1 Rh 0.000 0.000 0.500 1
S1 S 0.000 0.500 0.500 1
S2 S 0.500 0.000 0.500 1
```

B | First-principles (PBE-GGA) data for PIrRhS2 after structural relaxation, as listed in Alexandria.

Cell and atoms, written as CIF:
```
data_PIrRhS2
_space_group_name_H-M_alt 'P 1'
_space_group_IT_number 1
_space_group_name_Hall 'P 1'
_cell_length_a 4.723
_cell_length_b 4.723
_cell_length_c 4.404
_cell_angle_alpha 90.00
_cell_angle_beta 90.00
_cell_angle_gamma 90.00
loop_
_atom_site_label
_atom_site_type_symbol
_atom_site_fract_x
_atom_site_fract_y
_atom_site_fract_z
_atom_site_occupancy
P1 P 0.000 0.000 0.000 1
Ir1 Ir 0.000 0.000 0.500 1
Rh1 Rh 0.500 0.500 0.000 1
S1 S 0.000 0.500 0.500 1
S2 S 0.500 0.000 0.500 1
```

Most stable to least stable, the ends of the list are B and A.

A | First-principles (PBE-GGA) data for PIr3Ru after structural relaxation, as listed in Alexandria.

Cell and atoms, written as CIF:
```
data_PIr3Ru
_space_group_name_H-M_alt 'P 1'
_space_group_IT_number 1
_space_group_name_Hall 'P 1'
_cell_length_a 4.681
_cell_length_b 4.681
_cell_length_c 4.681
_cell_angle_alpha 90.00
_cell_angle_beta 90.00
_cell_angle_gamma 90.00
loop_
_atom_site_label
_atom_site_type_symbol
_atom_site_fract_x
_atom_site_fract_y
_atom_site_fract_z
_atom_site_occupancy
P1 P 0.000 0.000 0.000 1
Ir1 Ir 0.000 0.500 0.500 1
Ir2 Ir 0.500 0.000 0.500 1
Ir3 Ir 0.500 0.500 0.000 1
Ru1 Ru 0.500 0.500 0.500 1
```

B | First-principles (PBE-GGA) data for PIr3Ru after structural relaxation, as listed in Alexandria.

Cell and atoms, written as CIF:
```
data_PIr3Ru
_space_group_name_H-M_alt 'P 1'
_space_group_IT_number 1
_space_group_name_Hall 'P 1'
_cell_length_a 4.377
_cell_length_b 4.377
_cell_length_c 4.377
_cell_angle_alpha 90.00
_cell_angle_beta 90.00
_cell_angle_gamma 90.00
loop_
_atom_site_label
_atom_site_type_symbol
_atom_site_fract_x
_atom_site_fract_y
_atom_site_fract_z
_atom_site_occupancy
P1 P 0.000 0.000 0.000 1
Ir1 Ir 0.000 0.000 0.500 1
Ir2 Ir 0.000 0.500 0.000 1
Ir3 Ir 0.500 0.000 0.000 1
Ru1 Ru 0.500 0.500 0.500 1
```

Most stable to least stable, the ends of the list are B and A.

A | First-principles (PBE-GGA) data for P2IrRuS after structural relaxation, as listed in Alexandria.

Cell and atoms, written as CIF:
```
data_P2IrRuS
_space_group_name_H-M_alt 'P 1'
_space_group_IT_number 1
_space_group_name_Hall 'P 1'
_cell_length_a 4.433
_cell_length_b 4.433
_cell_length_c 4.637
_cell_angle_alpha 90.00
_cell_angle_beta 90.00
_cell_angle_gamma 90.00
loop_
_atom_site_label
_atom_site_type_symbol
_atom_site_fract_x
_atom_site_fract_y
_atom_site_fract_z
_atom_site_occupancy
P1 P 0.000 0.500 0.000 1
P2 P 0.500 0.000 0.000 1
Ir1 Ir 0.000 0.000 0.500 1
Ru1 Ru 0.500 0.500 0.000 1
S1 S 0.500 0.500 0.500 1
```

B | First-principles (PBE-GGA) data for P2IrRuS after structural relaxation, as listed in Alexandria.

Cell and atoms, written as CIF:
```
data_P2IrRuS
_space_group_name_H-M_alt 'P 1'
_space_group_IT_number 1
_space_group_name_Hall 'P 1'
_cell_length_a 4.475
_cell_length_b 4.475
_cell_length_c 4.807
_cell_angle_alpha 90.00
_cell_angle_beta 90.00
_cell_angle_gamma 90.00
loop_
_atom_site_label
_atom_site_type_symbol
_atom_site_fract_x
_atom_site_fract_y
_atom_site_fract_z
_atom_site_occupancy
P1 P 0.000 0.500 0.000 1
P2 P 0.500 0.000 0.000 1
Ir1 Ir 0.000 0.000 0.000 1
Ru1 Ru 0.500 0.500 0.500 1
S1 S 0.000 0.000 0.500 1
```

Most stable to least stable, the ends of the list are A and B.

A | First-principles (PBE-GGA) data for TaP2IrRu after structural relaxation, as listed in Alexandria.

Cell and atoms, written as CIF:
```
data_TaP2IrRu
_space_group_name_H-M_alt 'P 1'
_space_group_IT_number 1
_space_group_name_Hall 'P 1'
_cell_length_a 4.401
_cell_length_b 4.401
_cell_length_c 5.065
_cell_angle_alpha 90.00
_cell_angle_beta 90.00
_cell_angle_gamma 90.00
loop_
_atom_site_label
_atom_site_type_symbol
_atom_site_fract_x
_atom_site_fract_y
_atom_site_fract_z
_atom_site_occupancy
Ta1 Ta 0.000 0.000 0.000 1
P1 P 0.000 0.500 0.500 1
P2 P 0.500 0.000 0.500 1
Ir1 Ir 0.000 0.000 0.500 1
Ru1 Ru 0.500 0.500 0.000 1
```

B | First-principles (PBE-GGA) data for TaP2IrRu after structural relaxation, as listed in Alexandria.

Cell and atoms, written as CIF:
```
data_TaP2IrRu
_space_group_name_H-M_alt 'P 1'
_space_group_IT_number 1
_space_group_name_Hall 'P 1'
_cell_length_a 4.654
_cell_length_b 4.654
_cell_length_c 4.680
_cell_angle_alpha 90.00
_cell_angle_beta 90.00
_cell_angle_gamma 90.00
loop_
_atom_site_label
_atom_site_type_symbol
_atom_site_fract_x
_atom_site_fract_y
_atom_site_fract_z
_atom_site_occupancy
Ta1 Ta 0.000 0.000 0.000 1
P1 P 0.000 0.500 0.000 1
P2 P 0.500 0.000 0.000 1
Ir1 Ir 0.500 0.500 0.500 1
Ru1 Ru 0.000 0.000 0.500 1
```

Most stable to least stable, the ends of the list are A and B.

A | First-principles (PBE-GGA) data for SbP2IrS after structural relaxation, as listed in Alexandria.

Cell and atoms, written as CIF:
```
data_SbP2IrS
_space_group_name_H-M_alt 'P 1'
_space_group_IT_number 1
_space_group_name_Hall 'P 1'
_cell_length_a 4.939
_cell_length_b 4.939
_cell_length_c 4.777
_cell_angle_alpha 90.00
_cell_angle_beta 90.00
_cell_angle_gamma 90.00
loop_
_atom_site_label
_atom_site_type_symbol
_atom_site_fract_x
_atom_site_fract_y
_atom_site_fract_z
_atom_site_occupancy
Sb1 Sb 0.000 0.000 0.000 1
P1 P 0.000 0.500 0.000 1
P2 P 0.500 0.000 0.000 1
Ir1 Ir 0.500 0.500 0.500 1
S1 S 0.000 0.000 0.500 1
```

B | First-principles (PBE-GGA) data for SbP2IrS after structural relaxation, as listed in Alexandria.

Cell and atoms, written as CIF:
```
data_SbP2IrS
_space_group_name_H-M_alt 'P 1'
_space_group_IT_number 1
_space_group_name_Hall 'P 1'
_cell_length_a 4.511
_cell_length_b 4.511
_cell_length_c 5.115
_cell_angle_alpha 90.00
_cell_angle_beta 90.00
_cell_angle_gamma 90.00
loop_
_atom_site_label
_atom_site_type_symbol
_atom_site_fract_x
_atom_site_fract_y
_atom_site_fract_z
_atom_site_occupancy
Sb1 Sb 0.000 0.000 0.000 1
P1 P 0.000 0.500 0.500 1
P2 P 0.500 0.000 0.500 1
Ir1 Ir 0.500 0.500 0.500 1
S1 S 0.500 0.500 0.000 1
```

Most stable to least stable, the ends of the list are B and A.

A | First-principles (PBE-GGA) data for SbPIrS2 after structural relaxation, as listed in Alexandria.

Cell and atoms, written as CIF:
```
data_SbPIrS2
_space_group_name_H-M_alt 'P 1'
_space_group_IT_number 1
_space_group_name_Hall 'P 1'
_cell_length_a 4.845
_cell_length_b 4.845
_cell_length_c 5.056
_cell_angle_alpha 90.00
_cell_angle_beta 90.00
_cell_angle_gamma 90.00
loop_
_atom_site_label
_atom_site_type_symbol
_atom_site_fract_x
_atom_site_fract_y
_atom_site_fract_z
_atom_site_occupancy
Sb1 Sb 0.000 0.000 0.000 1
P1 P 0.000 0.000 0.500 1
Ir1 Ir 0.500 0.500 0.500 1
S1 S 0.000 0.500 0.000 1
S2 S 0.500 0.000 0.000 1
```

B | First-principles (PBE-GGA) data for SbPIrS2 after structural relaxation, as listed in Alexandria.

Cell and atoms, written as CIF:
```
data_SbPIrS2
_space_group_name_H-M_alt 'P 1'
_space_group_IT_number 1
_space_group_name_Hall 'P 1'
_cell_length_a 4.868
_cell_length_b 4.868
_cell_length_c 4.397
_cell_angle_alpha 90.00
_cell_angle_beta 90.00
_cell_angle_gamma 90.00
loop_
_atom_site_label
_atom_site_type_symbol
_atom_site_fract_x
_atom_site_fract_y
_atom_site_fract_z
_atom_site_occupancy
Sb1 Sb 0.000 0.000 0.000 1
P1 P 0.500 0.500 0.000 1
Ir1 Ir 0.500 0.500 0.500 1
S1 S 0.000 0.500 0.500 1
S2 S 0.500 0.000 0.500 1
```

Most stable to least stable, the ends of the list are B and A.

A | First-principles (PBE-GGA) data for ScPIrS2 after structural relaxation, as listed in Alexandria.

Cell and atoms, written as CIF:
```
data_ScPIrS2
_space_group_name_H-M_alt 'P 1'
_space_group_IT_number 1
_space_group_name_Hall 'P 1'
_cell_length_a 4.729
_cell_length_b 4.729
_cell_length_c 4.934
_cell_angle_alpha 90.00
_cell_angle_beta 90.00
_cell_angle_gamma 90.00
loop_
_atom_site_label
_atom_site_type_symbol
_atom_site_fract_x
_atom_site_fract_y
_atom_site_fract_z
_atom_site_occupancy
Sc1 Sc 0.000 0.000 0.000 1
P1 P 0.000 0.000 0.500 1
Ir1 Ir 0.500 0.500 0.500 1
S1 S 0.000 0.500 0.000 1
S2 S 0.500 0.000 0.000 1
```

B | First-principles (PBE-GGA) data for ScPIrS2 after structural relaxation, as listed in Alexandria.

Cell and atoms, written as CIF:
```
data_ScPIrS2
_space_group_name_H-M_alt 'P 1'
_space_group_IT_number 1
_space_group_name_Hall 'P 1'
_cell_length_a 4.849
_cell_length_b 4.849
_cell_length_c 4.361
_cell_angle_alpha 90.00
_cell_angle_beta 90.00
_cell_angle_gamma 90.00
loop_
_atom_site_label
_atom_site_type_symbol
_atom_site_fract_x
_atom_site_fract_y
_atom_site_fract_z
_atom_site_occupancy
Sc1 Sc 0.000 0.000 0.000 1
P1 P 0.500 0.500 0.000 1
Ir1 Ir 0.500 0.500 0.500 1
S1 S 0.000 0.500 0.500 1
S2 S 0.500 0.000 0.500 1
```

Most stable to least stable, the ends of the list are B and A.